No. 1
VASP calculation (PBE-GGA) on a geometry-optimized GdTmCo2 structure.

The structure in POSCAR format:
```
GdTmCo2
1.0
4.7090 0.0000 0.0000
2.3545 4.0781 0.0000
2.3545 1.3594 3.8449
Gd Tm Co
1 1 2
Direct
0.5000 0.5000 0.5000
0.0000 0.0000 0.0000
0.2500 0.2500 0.2500
0.7500 0.7500 0.7500
```

* VASP energy: -8.353 eV/atom
* DOS(E_F): 0.86 states/eV/f.u.
* energy of formation from the pure elements: -0.162 eV per atom

***

No. 2
VASP calculation (PBE-GGA) on a geometry-optimized PmTcAs structure.

The structure in POSCAR format:
```
PmTcAs
1.0
-0.0913 0.6681 3.9103
-4.2835 0.4792 -0.1819
1.7063 -3.8988 0.7060
As Tc Pm
1 1 1
Direct
0.1667 0.6667 0.3333
0.1667 0.0000 0.0000
0.6666 0.3333 0.6667
```

* VASP energy: -7.034 eV/atom
* DOS(E_F): 3.08 states/eV/f.u.
* energy of formation from the pure elements: -0.445 eV per atom

***

No. 3
VASP calculation (PBE-GGA) on a geometry-optimized TaSiTe2 structure.

The structure in POSCAR format:
```
TaSiTe2
1.0
-3.0314 9.2516 1.2931
-0.4059 9.1021 3.6663
0.3136 9.8123 0.2713
Si Te Ta
1 2 1
Direct
0.0000 0.0000 0.0000
0.8993 0.8993 0.8993
0.1007 0.1007 0.1007
0.5000 0.5000 0.5000
```

* VASP energy: -5.645 eV/atom
* DOS(E_F): 2.51 states/eV/f.u.
* uncorrected formation energy: 245 meV/atom

***

No. 4
VASP calculation (PBE-GGA) on a geometry-optimized Pm2MgNi3Sn4 structure.

The structure in POSCAR format:
```
Pm2MgNi3Sn4
1.0
4.3865 0.0000 0.0000
0.0000 4.3865 0.0000
0.0000 0.0000 11.0217
Pm Mg Ni Sn
2 1 3 4
Direct
0.5000 0.0000 0.2401
0.0000 0.5000 0.7599
0.5000 0.5000 0.5000
0.0000 0.0000 0.5000
0.5000 0.0000 0.8771
0.0000 0.5000 0.1229
0.5000 0.5000 0.0000
0.0000 0.0000 0.0000
0.5000 0.0000 0.6501
0.0000 0.5000 0.3499
```

* VASP energy: -4.941 eV/atom
* DOS(E_F): 5.54 states/eV/f.u.
* energy of formation from the pure elements: -0.496 eV per atom

***

No. 5
VASP calculation (PBE-GGA) on a geometry-optimized MnW2Au structure.

The structure in POSCAR format:
```
MnW2Au
1.0
4.9292 0.0146 -0.0186
4.1334 2.6856 -0.0186
0.7577 0.2257 4.7896
Au Mn W
1 1 2
Direct
0.7500 0.7500 0.7500
0.2500 0.2500 0.2500
0.9996 0.9996 0.0066
0.5004 0.5004 0.4934
```

* VASP energy: -9.207 eV/atom
* DOS(E_F): 3.98 states/eV/f.u.
* energy of formation from the pure elements: 0.381 eV per atom

***

No. 6
VASP calculation (PBE-GGA) on a geometry-optimized Ta2FeHAu structure.

The structure in POSCAR format:
```
Ta2FeHAu
1.0
-0.3100 -2.8871 2.8362
3.7005 0.9496 1.3710
-1.6043 2.6339 2.5058
H Au Fe Ta
1 1 1 2
Direct
0.0000 0.0000 0.0000
0.5000 0.5000 0.5000
0.0000 0.0000 0.5000
0.0000 0.5000 0.0000
0.5000 0.0000 0.0000
```

* VASP energy: -7.774 eV/atom
* DOS(E_F): 2.94 states/eV/f.u.

***

No. 7
VASP calculation (PBE-GGA) on a geometry-optimized Na3Er2HfS6 structure.

The structure in POSCAR format:
```
Na3Er2HfS6
1.0
6.6556 -0.0008 -0.0014
-3.3269 5.7644 -0.0014
-1.1118 -1.9250 6.7191
Na Er Hf S
3 2 1 6
Direct
0.1689 0.8311 0.5000
0.8311 0.1689 0.5000
0.5000 0.5000 0.5000
0.3335 0.6665 0.0000
0.6665 0.3335 0.0000
0.0000 0.0000 0.0000
0.9250 0.6057 0.7754
0.7558 0.7558 0.2238
0.0750 0.3943 0.2246
0.6057 0.9250 0.7754
0.2442 0.2442 0.7762
0.3943 0.0750 0.2246
```

* VASP energy: -5.682 eV/atom
* DOS(E_F): 3.70 states/eV/f.u.
* uncorrected formation energy: -1698 meV/atom

***

No. 8
VASP calculation (PBE-GGA) on a geometry-optimized ErScMnTc structure.

The structure in POSCAR format:
```
ErScMnTc
1.0
4.7522 0.0000 0.0000
2.3761 4.1155 0.0000
2.3761 1.3718 3.8801
Sc Mn Tc Er
1 1 1 1
Direct
0.0000 0.0000 0.0000
0.7500 0.7500 0.7500
0.2500 0.2500 0.2500
0.5000 0.5000 0.5000
```

* VASP energy: -7.579 eV/atom
* DOS(E_F): 3.71 states/eV/f.u.
* energy of formation from the pure elements: 0.029 eV per atom

***

No. 9
VASP calculation (PBE-GGA) on a geometry-optimized Cs3SrCa2F9 structure.

The structure in POSCAR format:
```
Cs3SrCa2F9
1.0
6.5856 0.0000 0.0000
-3.2928 5.7033 0.0000
0.0000 0.0000 8.0726
Cs Sr Ca F
3 1 2 9
Direct
0.3333 0.6667 0.6681
0.0000 0.0000 0.0000
0.6667 0.3333 0.3319
0.0000 0.0000 0.5000
0.3333 0.6667 0.1602
0.6667 0.3333 0.8398
0.8280 0.1720 0.6750
0.8280 0.6561 0.6750
0.3439 0.1720 0.6750
0.6561 0.8280 0.3250
0.1720 0.3439 0.3250
0.1720 0.8280 0.3250
0.5000 0.0000 0.0000
0.0000 0.5000 0.0000
0.5000 0.5000 0.0000
```

* VASP energy: -5.134 eV/atom
* DOS(E_F): 0.00 states/eV/f.u.
* uncorrected formation energy: -3462 meV/atom

***

No. 10
VASP calculation (PBE-GGA) on a geometry-optimized Ba2NaAs3Pd12 structure.

The structure in POSCAR format:
```
Ba2NaAs3Pd12
1.0
6.8145 -1.5087 -1.0701
2.0535 6.6706 -1.0701
2.0535 1.1953 6.6493
Ba Na As Pd
2 1 3 12
Direct
0.6261 0.6261 0.6261
0.3739 0.3739 0.3739
0.0000 0.0000 0.0000
0.5000 0.0000 0.0000
0.0000 0.5000 0.0000
0.0000 0.0000 0.5000
0.3627 0.3627 0.9201
0.8227 0.8227 0.3145
0.3145 0.8227 0.8227
0.9201 0.3627 0.3627
0.8227 0.3145 0.8227
0.3627 0.9201 0.3627
0.6373 0.6373 0.0799
0.1773 0.1773 0.6855
0.6855 0.1773 0.1773
0.0799 0.6373 0.6373
0.1773 0.6855 0.1773
0.6373 0.0799 0.6373
```

* VASP energy: -4.740 eV/atom
* DOS(E_F): 9.91 states/eV/f.u.
* energy of formation from the pure elements: -0.216 eV per atom

***

No. 11
VASP calculation (PBE-GGA) on a geometry-optimized Al2SnRh2 structure.

The structure in POSCAR format:
```
Al2SnRh2
1.0
-3.5544 -5.2829 3.9100
3.5544 -5.2841 -3.9083
2.1422 0.0003 1.9478
Rh Sn Al
4 2 4
Direct
0.1564 0.6564 0.5000
0.6564 0.8436 0.5000
0.8436 0.3436 0.5000
0.3436 0.1564 0.5000
0.0000 0.0000 0.0000
0.5000 0.5000 0.0000
0.3676 0.8676 0.0000
0.8676 0.6324 0.0000
0.6324 0.1324 0.0000
0.1324 0.3676 0.0000
```

* VASP energy: -5.779 eV/atom
* DOS(E_F): 2.97 states/eV/f.u.
* energy of formation from the pure elements: -0.541 eV per atom

***

No. 12
VASP calculation (PBE-GGA) on a geometry-optimized PrDyRuAu structure.

The structure in POSCAR format:
```
PrDyRuAu
1.0
5.0556 0.0000 0.0000
2.5278 4.3783 0.0000
2.5278 1.4594 4.1279
Pr Ru Au Dy
1 1 1 1
Direct
0.0000 0.0000 0.0000
0.7500 0.7500 0.7500
0.2500 0.2500 0.2500
0.5000 0.5000 0.5000
```

* VASP energy: -5.946 eV/atom
* DOS(E_F): 3.23 states/eV/f.u.
* energy of formation from the pure elements: -0.462 eV per atom